(1)
The following is a PBE-GGA calculation of a geometry-optimized NaHoN structure, from Alexandria via LeMat-Bulk.

Calculated values
N(E_F)	0.2707	states/eV/atom
E_form (uncorrected)	-72.7	kJ per mole of atoms
calculated volume	261.1	Å³/cell

abc: 6.5893 6.0886 6.5072
angles: 90.00 90.28 90.00
Element x y z (fractional)
1 Na 0.1662 0.2501 0.2479
2 Na 0.1662 0.2499 0.7479
3 Na 0.8338 0.7501 0.2521
4 Na 0.8338 0.7499 0.7521
5 Ho 0.3940 0.7500 0.9995
6 Ho 0.3940 0.7500 0.4995
7 Ho 0.6060 0.2500 0.0005
8 Ho 0.6060 0.2500 0.5005
9 N 0.4983 0.0011 0.2500
10 N 0.4983 0.4989 0.7500
11 N 0.5017 0.5011 0.2500
12 N 0.5017 0.9989 0.7500

(2)
The following is a PBE-GGA calculation of a geometry-optimized NaHo2N structure, from Alexandria via LeMat-Bulk.

Calculated values
N(E_F)	0.9117	states/eV/atom
E_form (uncorrected)	-64.7	kJ per mole of atoms
calculated volume	98.7	Å³/cell

abc: 9.8054 9.8054 9.8054
angles: 20.24 20.24 20.24
Element x y z (fractional)
1 Na 0.0000 0.0000 0.0000
2 Ho 0.1210 0.1210 0.1210
3 Ho 0.8790 0.8790 0.8790
4 N 0.5000 0.5000 0.5000

(3)
The following is a PBE-GGA calculation of a geometry-optimized NaHoPa4N8 structure, from Alexandria via LeMat-Bulk.

Calculated values
N(E_F)	0.0000	states/eV/atom
E_form (uncorrected)	-136.7	kJ per mole of atoms
calculated volume	227.0	Å³/cell

abc: 6.6293 6.6293 6.6293
angles: 64.66 64.66 64.66
Element x y z (fractional)
1 Na 0.0000 0.0000 0.0000
2 Ho 0.3759 0.3759 0.3759
3 Pa 0.4962 0.9950 0.9950
4 Pa 0.5942 0.5942 0.5942
5 Pa 0.9950 0.4962 0.9950
6 Pa 0.9950 0.9950 0.4962
7 N 0.2209 0.7498 0.7498
8 N 0.2317 0.2317 0.2317
9 N 0.2713 0.2713 0.7734
10 N 0.2713 0.7734 0.2713
11 N 0.7485 0.7485 0.7485
12 N 0.7498 0.2209 0.7498
13 N 0.7498 0.7498 0.2209
14 N 0.7734 0.2713 0.2713

(4)
The following is a PBE-GGA calculation of a geometry-optimized Na4HoPa3N8 structure, from Alexandria via LeMat-Bulk.

Calculated values
N(E_F)	0.7871	states/eV/atom
E_form (uncorrected)	-99.7	kJ per mole of atoms
calculated volume	248.8	Å³/cell

abc: 7.0225 7.0225 7.0225
angles: 60.71 60.71 60.71
Element x y z (fractional)
1 Na 0.0000 0.0000 0.0000
2 Na 0.0000 0.5000 0.5000
3 Na 0.5000 0.0000 0.5000
4 Na 0.5000 0.5000 0.0000
5 Ho 0.5000 0.5000 0.5000
6 Pa 0.0000 0.0000 0.5000
7 Pa 0.0000 0.5000 0.0000
8 Pa 0.5000 0.0000 0.0000
9 N 0.2163 0.7351 0.7351
10 N 0.2307 0.2307 0.2307
11 N 0.2649 0.2649 0.7837
12 N 0.2649 0.7837 0.2649
13 N 0.7351 0.2163 0.7351
14 N 0.7351 0.7351 0.2163
15 N 0.7693 0.7693 0.7693
16 N 0.7837 0.2649 0.2649

(5)
The following is a PBE-GGA calculation of a geometry-optimized Na3HoPa2N6 structure, from Alexandria via LeMat-Bulk.

Calculated values
N(E_F)	0.9470	states/eV/atom
E_form (uncorrected)	-92.1	kJ per mole of atoms
calculated volume	185.5	Å³/cell

abc: 6.1848 6.1848 6.0057
angles: 98.74 98.74 121.78
Element x y z (fractional)
1 Na 0.0000 0.0000 0.0000
2 Na 0.3361 0.6639 0.0000
3 Na 0.6639 0.3361 0.0000
4 Ho 0.5000 0.5000 0.5000
5 Pa 0.1639 0.8361 0.5000
6 Pa 0.8361 0.1639 0.5000
7 N 0.0833 0.4234 0.3102
8 N 0.2201 0.2201 0.6932
9 N 0.4234 0.0833 0.3102
10 N 0.5766 0.9167 0.6898
11 N 0.7799 0.7799 0.3068
12 N 0.9167 0.5766 0.6898

(6)
The following is a PBE-GGA calculation of a geometry-optimized Na2HoReN4 structure, from Alexandria via LeMat-Bulk.

Calculated values
N(E_F)	0.0000	states/eV/atom
E_form (uncorrected)	-57.0	kJ per mole of atoms
calculated volume	248.1	Å³/cell

abc: 6.9298 6.9298 7.0934
angles: 120.73 120.73 82.12
Element x y z (fractional)
1 Na 0.0000 0.0000 0.0000
2 Na 0.1147 0.5068 0.5598
3 Na 0.4932 0.8853 0.4402
4 Na 0.9994 0.0006 0.5000
5 Ho 0.6134 0.3866 0.0000
6 Ho 0.6139 0.3861 0.5000
7 Re 0.0586 0.4795 0.0188
8 Re 0.5205 0.9414 0.9812
9 N 0.3788 0.4840 0.1817
10 N 0.3885 0.0309 0.7498
11 N 0.3895 0.0303 0.1711
12 N 0.5160 0.6212 0.8183
13 N 0.7857 0.1616 0.2233
14 N 0.8384 0.2143 0.7767
15 N 0.9691 0.6115 0.2502
16 N 0.9697 0.6105 0.8289

(7)
The following is a PBE-GGA calculation of a geometry-optimized Na2HoTc2N4 structure, from Alexandria via LeMat-Bulk.

Calculated values
N(E_F)	0.3341	states/eV/atom
E_form (uncorrected)	-41.3	kJ per mole of atoms
calculated volume	134.9	Å³/cell

abc: 6.0127 6.0127 8.6646
angles: 125.79 125.79 32.92
Element x y z (fractional)
1 Na 0.1614 0.1614 0.2691
2 Na 0.8386 0.8386 0.7309
3 Ho 0.0000 0.0000 0.5000
4 Tc 0.3521 0.3521 0.1240
5 Tc 0.6479 0.6479 0.8760
6 N 0.2195 0.2195 0.8223
7 N 0.4535 0.4535 0.6466
8 N 0.5465 0.5465 0.3534
9 N 0.7805 0.7805 0.1777

(8)
The following is a PBE-GGA calculation of a geometry-optimized Na4HoU3N8 structure, from Alexandria via LeMat-Bulk.

Calculated values
N(E_F)	0.2759	states/eV/atom
E_form (uncorrected)	-104.4	kJ per mole of atoms
calculated volume	239.6	Å³/cell

abc: 6.9598 6.9598 6.9598
angles: 60.22 60.22 60.22
Element x y z (fractional)
1 Na 0.0000 0.0000 0.0000
2 Na 0.0000 0.5000 0.5000
3 Na 0.5000 0.0000 0.5000
4 Na 0.5000 0.5000 0.0000
5 Ho 0.5000 0.5000 0.5000
6 U 0.0000 0.0000 0.5000
7 U 0.0000 0.5000 0.0000
8 U 0.5000 0.0000 0.0000
9 N 0.2046 0.7387 0.7387
10 N 0.2286 0.2286 0.2286
11 N 0.2613 0.2613 0.7954
12 N 0.2613 0.7954 0.2613
13 N 0.7387 0.2046 0.7387
14 N 0.7387 0.7387 0.2046
15 N 0.7714 0.7714 0.7714
16 N 0.7954 0.2613 0.2613

(9)
The following is a PBE-GGA calculation of a geometry-optimized Ho4NbN4 structure, from Alexandria via LeMat-Bulk.

Calculated values
N(E_F)	0.4461	states/eV/atom
E_form (uncorrected)	-134.9	kJ per mole of atoms
calculated volume	136.8	Å³/cell

abc: 5.8152 5.8152 5.8152
angles: 100.36 100.36 129.81
Element x y z (fractional)
1 Ho 0.1056 0.3044 0.4099
2 Ho 0.3044 0.8944 0.1988
3 Ho 0.6956 0.1056 0.8012
4 Ho 0.8944 0.6956 0.5901
5 Nb 0.5000 0.5000 0.0000
6 N 0.2140 0.5921 0.8061
7 N 0.4079 0.2140 0.6219
8 N 0.5921 0.7860 0.3781
9 N 0.7860 0.4079 0.1939

(10)
The following is a PBE-GGA calculation of a geometry-optimized Ho5NbN6 structure, from Alexandria via LeMat-Bulk.

Calculated values
N(E_F)	0.2115	states/eV/atom
E_form (uncorrected)	-156.5	kJ per mole of atoms
calculated volume	163.6	Å³/cell

abc: 5.8519 5.8519 5.8484
angles: 99.63 99.63 119.92
Element x y z (fractional)
1 Ho 0.0000 0.0000 0.0000
2 Ho 0.1669 0.8331 0.5000
3 Ho 0.3341 0.6659 0.0000
4 Ho 0.6659 0.3341 0.0000
5 Ho 0.8331 0.1669 0.5000
6 Nb 0.5000 0.5000 0.5000
7 N 0.1036 0.4202 0.2617
8 N 0.2629 0.2629 0.7417
9 N 0.4202 0.1036 0.2617
10 N 0.5798 0.8964 0.7383
11 N 0.7371 0.7371 0.2583
12 N 0.8964 0.5798 0.7383

(11)
The following is a PBE-GGA calculation of a geometry-optimized Ho3Nb5N12 structure, from Alexandria via LeMat-Bulk.

Calculated values
N(E_F)	0.8394	states/eV/atom
E_form (uncorrected)	-88.4	kJ per mole of atoms
calculated volume	1083.5	Å³/cell

abc: 11.2067 11.2067 11.2067
angles: 109.47 109.47 109.47
Element x y z (fractional)
1 Ho 0.1250 0.2500 0.3750
2 Ho 0.1250 0.3750 0.7500
3 Ho 0.2500 0.3750 0.1250
4 Ho 0.2500 0.8750 0.6250
5 Ho 0.3750 0.1250 0.2500
6 Ho 0.3750 0.7500 0.1250
7 Ho 0.6250 0.2500 0.8750
8 Ho 0.6250 0.8750 0.7500
9 Ho 0.7500 0.1250 0.3750
10 Ho 0.7500 0.6250 0.8750
11 Ho 0.8750 0.6250 0.2500
12 Ho 0.8750 0.7500 0.6250
13 Nb 0.0000 0.0000 0.0000
14 Nb 0.0000 0.0000 0.5000
15 Nb 0.0000 0.5000 0.0000
16 Nb 0.0000 0.5000 0.5000
17 Nb 0.1250 0.7500 0.8750
18 Nb 0.1250 0.8750 0.2500
19 Nb 0.2500 0.1250 0.8750
20 Nb 0.2500 0.6250 0.3750
21 Nb 0.3750 0.2500 0.6250
22 Nb 0.3750 0.6250 0.7500
23 Nb 0.5000 0.0000 0.0000
24 Nb 0.5000 0.0000 0.5000
25 Nb 0.5000 0.5000 0.0000
26 Nb 0.5000 0.5000 0.5000
27 Nb 0.6250 0.3750 0.2500
28 Nb 0.6250 0.7500 0.3750
29 Nb 0.7500 0.3750 0.6250
30 Nb 0.7500 0.8750 0.1250
31 Nb 0.8750 0.1250 0.7500
32 Nb 0.8750 0.2500 0.1250
33 N 0.0287 0.2071 0.1214
34 N 0.0287 0.3216 0.9073
35 N 0.0857 0.7071 0.6784
36 N 0.0857 0.8786 0.4073
37 N 0.0927 0.6214 0.4143
38 N 0.0927 0.9713 0.6784
39 N 0.1214 0.0287 0.2071
40 N 0.1214 0.5927 0.9143
41 N 0.1784 0.2071 0.5857
42 N 0.1784 0.4713 0.5927
43 N 0.2071 0.1214 0.0287
44 N 0.2071 0.5857 0.1784
45 N 0.2929 0.3216 0.9143
46 N 0.2929 0.4713 0.3786
47 N 0.3216 0.9073 0.0287
48 N 0.3216 0.9143 0.2929
49 N 0.3786 0.2929 0.4713
50 N 0.3786 0.5857 0.9073
51 N 0.4073 0.0857 0.8786
52 N 0.4073 0.8216 0.5287
53 N 0.4143 0.0927 0.6214
54 N 0.4143 0.8216 0.7929
55 N 0.4713 0.3786 0.2929
56 N 0.4713 0.5927 0.1784
57 N 0.5287 0.4073 0.8216
58 N 0.5287 0.6214 0.7071
59 N 0.5857 0.1784 0.2071
60 N 0.5857 0.9073 0.3786
61 N 0.5927 0.1784 0.4713
62 N 0.5927 0.9143 0.1214
63 N 0.6214 0.4143 0.0927
64 N 0.6214 0.7071 0.5287
65 N 0.6784 0.0857 0.7071
66 N 0.6784 0.0927 0.9713
67 N 0.7071 0.5287 0.6214
68 N 0.7071 0.6784 0.0857
69 N 0.7929 0.4143 0.8216
70 N 0.7929 0.8786 0.9713
71 N 0.8216 0.5287 0.4073
72 N 0.8216 0.7929 0.4143
73 N 0.8786 0.4073 0.0857
74 N 0.8786 0.9713 0.7929
75 N 0.9073 0.0287 0.3216
76 N 0.9073 0.3786 0.5857
77 N 0.9143 0.1214 0.5927
78 N 0.9143 0.2929 0.3216
79 N 0.9713 0.6784 0.0927
80 N 0.9713 0.7929 0.8786

(12)
The following is a PBE-GGA calculation of a geometry-optimized Ho2NbN structure, from Alexandria via LeMat-Bulk.

Calculated values
N(E_F)	0.9202	states/eV/atom
E_form (uncorrected)	-32.4	kJ per mole of atoms
calculated volume	81.5	Å³/cell

abc: 8.9564 8.9564 8.9564
angles: 21.09 21.09 21.09
Element x y z (fractional)
1 Ho 0.1144 0.1144 0.1144
2 Ho 0.8856 0.8856 0.8856
3 Nb 0.0000 0.0000 0.0000
4 N 0.5000 0.5000 0.5000

(13)
The following is a PBE-GGA calculation of a geometry-optimized Ho2NbN3 structure, from Alexandria via LeMat-Bulk.

Calculated values
N(E_F)	0.4527	states/eV/atom
E_form (uncorrected)	-136.8	kJ per mole of atoms
calculated volume	78.7	Å³/cell

abc: 7.4402 7.4402 7.4402
angles: 154.06 154.06 37.01
Element x y z (fractional)
1 Ho 0.1630 0.1630 0.0000
2 Ho 0.8370 0.8370 0.0000
3 Nb 0.5000 0.5000 0.0000
4 N 0.0000 0.0000 0.0000
5 N 0.3408 0.3408 0.0000
6 N 0.6592 0.6592 0.0000

(14)
The following is a PBE-GGA calculation of a geometry-optimized NdHo2NbN4 structure, from Alexandria via LeMat-Bulk.

Calculated values
N(E_F)	0.2753	states/eV/atom
E_form (uncorrected)	-122.6	kJ per mole of atoms
calculated volume	246.3	Å³/cell

abc: 6.2106 6.2106 12.0875
angles: 90.00 90.00 148.12
Element x y z (fractional)
1 Nd 0.0998 0.9002 0.7500
2 Nd 0.9002 0.0998 0.2500
3 Ho 0.3706 0.6294 0.5348
4 Ho 0.3706 0.6294 0.9652
5 Ho 0.6294 0.3706 0.0348
6 Ho 0.6294 0.3706 0.4652
7 Nb 0.1610 0.8390 0.2500
8 Nb 0.8390 0.1610 0.7500
9 N 0.0000 0.0000 0.0000
10 N 0.0000 0.0000 0.5000
11 N 0.2599 0.7401 0.1200
12 N 0.2599 0.7401 0.3800
13 N 0.4462 0.5538 0.7500
14 N 0.5538 0.4462 0.2500
15 N 0.7401 0.2599 0.6200
16 N 0.7401 0.2599 0.8800

(15)
The following is a PBE-GGA calculation of a geometry-optimized NdHoNbN3 structure, from Alexandria via LeMat-Bulk.

Calculated values
N(E_F)	0.5659	states/eV/atom
E_form (uncorrected)	-104.8	kJ per mole of atoms
calculated volume	209.0	Å³/cell

abc: 6.6306 3.3563 9.4329
angles: 90.00 95.39 90.00
Element x y z (fractional)
1 Nd 0.1981 0.2500 0.2405
2 Nd 0.8019 0.7500 0.7595
3 Ho 0.3391 0.7500 0.8864
4 Ho 0.6609 0.2500 0.1136
5 Nb 0.1371 0.2500 0.5804
6 Nb 0.8629 0.7500 0.4196
7 N 0.1121 0.2500 0.7934
8 N 0.1955 0.7500 0.4598
9 N 0.4023 0.7500 0.1255
10 N 0.5977 0.2500 0.8745
11 N 0.8045 0.2500 0.5402
12 N 0.8879 0.7500 0.2066

(16)
The following is a PBE-GGA calculation of a geometry-optimized Ho3Np3NbN8 structure, from Alexandria via LeMat-Bulk.

Calculated values
N(E_F)	1.2442	states/eV/atom
E_form (uncorrected)	-123.0	kJ per mole of atoms
calculated volume	220.1	Å³/cell

abc: 6.7971 6.7971 6.7971
angles: 59.62 59.62 59.62
Element x y z (fractional)
1 Ho 0.0000 0.5000 0.5000
2 Ho 0.5000 0.0000 0.5000
3 Ho 0.5000 0.5000 0.0000
4 Np 0.0000 0.0000 0.5000
5 Np 0.0000 0.5000 0.0000
6 Np 0.5000 0.0000 0.0000
7 Nb 0.5000 0.5000 0.5000
8 N 0.2504 0.2504 0.2504
9 N 0.2616 0.7274 0.7274
10 N 0.2726 0.2726 0.7384
11 N 0.2726 0.7384 0.2726
12 N 0.7274 0.2616 0.7274
13 N 0.7274 0.7274 0.2616
14 N 0.7384 0.2726 0.2726
15 N 0.7496 0.7496 0.7496

(17)
The following is a PBE-GGA calculation of a geometry-optimized Ho2NpNbN4 structure, from Alexandria via LeMat-Bulk.

Calculated values
N(E_F)	0.9113	states/eV/atom
E_form (uncorrected)	-135.5	kJ per mole of atoms
calculated volume	106.2	Å³/cell

abc: 5.7573 3.3431 5.8303
angles: 90.00 108.84 90.00
Element x y z (fractional)
1 Ho 0.0000 0.0000 0.0000
2 Ho 0.5000 0.5000 0.0000
3 Np 0.0000 0.5000 0.5000
4 Nb 0.5000 0.0000 0.5000
5 N 0.2506 0.0000 0.7377
6 N 0.2577 0.5000 0.2686
7 N 0.7423 0.5000 0.7314
8 N 0.7494 0.0000 0.2623

(18)
The following is a PBE-GGA calculation of a geometry-optimized HoNp2NbN4 structure, from Alexandria via LeMat-Bulk.

Calculated values
N(E_F)	1.5257	states/eV/atom
E_form (uncorrected)	-121.3	kJ per mole of atoms
calculated volume	106.9	Å³/cell

abc: 5.7926 3.3600 5.8283
angles: 90.00 109.54 90.00
Element x y z (fractional)
1 Ho 0.0000 0.0000 0.0000
2 Np 0.5000 0.0000 0.5000
3 Np 0.5000 0.5000 0.0000
4 Nb 0.0000 0.5000 0.5000
5 N 0.2404 0.0000 0.7358
6 N 0.2493 0.5000 0.2621
7 N 0.7507 0.5000 0.7379
8 N 0.7596 0.0000 0.2642